AgMoNF2 | Alexandria via LeMat-Bulk | GGA+U | relaxed; symmetry = No. 123; uncorrected energy = -5.19 eV per atom; E above lowest polymorph = 0 meV per atom; density = 5.9 g cm⁻³
1.0
-1.7889 -0.0398 -3.8576
1.6377 -3.8578 -0.7197
-3.2851 -1.6820 1.5408
Mo N Ag F
1 1 1 2
direct
0.0000 0.0000 0.0000
0.0000 0.0000 0.5000
0.5000 0.5000 0.5000
0.0000 0.5000 0.0000
0.5000 0.0000 0.0000